Record 1
This record from Alexandria describes a relaxed structure of Ni2RuPt2. The functional is GGA-PBE.

Computed properties:
Crystal system   tetragonal

Cell lengths 7.206, 7.206, 2.752 Å; angles 90.00, 90.00, 90.00 degrees
Space group P4/mbm (No. 127)
Unique sites:
Ni  0.165  0.335  0.000 x4
Ru  0.000  0.000  0.500 x2
Pt  0.134  0.634  0.500 x4

=====

Record 2
This record from Alexandria describes a relaxed structure of Ni2RuPt. The functional is GGA-PBE.

Computed properties:
Crystal system   tetragonal

Cell lengths 6.575, 6.575, 5.242 Å; angles 90.00, 90.00, 90.00 degrees
Space group I-42d (No. 122)
Unique sites:
Ni  0.235  0.250  0.125 x8
Ru  0.000  0.000  0.000 x4
Pt  0.000  0.000  0.500 x4

=====

Number 1: total energy -63.257 eV per cell. Number 2: total energy -99.054 eV per cell.